(1)
Density functional theory data (PBE) for a geometry-optimized Rb2MgS2 structure.

Geometry as CIF:
```
data_Rb2MgS2
_chemical_formula_sum 'Rb8 Mg4 S8'
_cell_length_a 8.047
_cell_length_b 7.707
_cell_length_c 10.070
_cell_angle_alpha 90.00
_cell_angle_beta 99.07
_cell_angle_gamma 90.00
_space_group_name_H-M_alt 'P 1'
_space_group_IT_number 1
loop_
_space_group_symop_operation_xyz
'x,y,z'
loop_
_atom_site_label
_atom_site_fract_x
_atom_site_fract_y
_atom_site_fract_z
S1 0.742 0.458 0.835
S2 0.347 0.661 0.567
S3 0.242 0.042 0.835
S4 0.758 0.958 0.165
S5 0.153 0.161 0.433
S6 0.847 0.839 0.567
S7 0.258 0.542 0.165
S8 0.653 0.339 0.433
Rb1 0.982 0.773 0.947
Rb2 0.081 0.395 0.689
Rb3 0.419 0.895 0.311
Rb4 0.482 0.727 0.947
Rb5 0.518 0.273 0.053
Rb6 0.581 0.105 0.689
Rb7 0.919 0.605 0.311
Rb8 0.018 0.227 0.053
Mg1 0.655 0.579 0.613
Mg2 0.845 0.079 0.387
Mg3 0.345 0.421 0.387
Mg4 0.155 0.921 0.613
```

Properties
* formation energy (no corrections): -1.22 eV/atom
* magnetization: 0.0 μB per cell
* SG: No. 14

(2)
Density functional theory data (PBE) for a geometry-optimized Sm4Dy6Mg structure.

Geometry as CIF:
```
data_Sm4Dy6Mg
_chemical_formula_sum 'Sm4 Dy6 Mg1'
_cell_length_a 9.739
_cell_length_b 9.739
_cell_length_c 9.739
_cell_angle_alpha 56.43
_cell_angle_beta 140.94
_cell_angle_gamma 140.94
_space_group_name_H-M_alt 'P 1'
_space_group_IT_number 1
loop_
_space_group_symop_operation_xyz
'x,y,z'
loop_
_atom_site_label
_atom_site_fract_x
_atom_site_fract_y
_atom_site_fract_z
Dy1 0.348 0.544 0.544
Dy2 0.000 0.803 0.456
Dy3 0.500 0.500 0.000
Dy4 0.000 0.456 0.803
Dy5 0.652 0.197 0.197
Dy6 0.500 0.000 0.500
Sm1 0.000 0.010 0.642
Sm2 0.368 0.358 0.358
Sm3 0.632 0.990 0.990
Sm4 0.000 0.642 0.010
Mg1 0.000 0.000 0.000
```

Properties
* magnetization: 0.0 μB per cell
* SG: No. 121
* energy relative to the elements: 0.2776 eV per atom

(3)
Density functional theory data (PBE) for a geometry-optimized BeNbTe structure.

Geometry as CIF:
```
data_BeNbTe
_chemical_formula_sum 'Be2 Nb2 Te2'
_cell_length_a 3.537
_cell_length_b 3.544
_cell_length_c 10.021
_cell_angle_alpha 80.18
_cell_angle_beta 89.72
_cell_angle_gamma 90.00
_space_group_name_H-M_alt 'P 1'
_space_group_IT_number 1
loop_
_space_group_symop_operation_xyz
'x,y,z'
loop_
_atom_site_label
_atom_site_fract_x
_atom_site_fract_y
_atom_site_fract_z
Nb1 0.827 0.014 0.587
Nb2 0.824 0.389 0.847
Be1 0.326 0.476 0.666
Be2 0.325 0.927 0.768
Te1 0.321 0.808 0.011
Te2 0.329 0.595 0.422
```

Properties
* formation energy (no corrections): -0.36 eV/atom
* magnetization: 0.0 μB per cell
* SG: No. 2